A plane-wave DFT calculation with GGA+U was carried out for a geometry-optimized Rb2PuNiO4 structure.

Unit cell a=6.4978 b=3.3859 c=7.0438 alpha=90.00 beta=116.29 gamma=90.00
With the nearest neighbours (Å) after each atom.
Atoms (fractional coordinates):
Rb1 0.0000 0.0000 0.0000  2 O 2.67
Rb2 0.5000 0.5000 0.0000  4 O 2.78
Pu1 0.0000 0.5000 0.5000  6 O 2.10-2.21
Ni1 0.5000 0.0000 0.5000  4 O 2.20
O1 0.1665 0.0000 0.7143  2 Pu 2.21
O2 0.2578 0.5000 0.3968  1 Pu 2.10, 2 Ni 2.20
O3 0.7422 0.5000 0.6032  1 Pu 2.10, 2 Ni 2.20
O4 0.8335 0.0000 0.2857  2 Pu 2.21

Values from the calculation:
Total magnetic moment (μB per atom): 0.4995
Space-group type: No. 10
Total DFT energy (no corrections) (eV/cell): -52.497